VASP calculation (GGA+U) on a relaxed Li4Ti3V5O16 crystal.

Summary:
VASP energy = -215.21 eV for the cell shown
crystal system = triclinic
magnetization = 9.0 Bohr magnetons per cell

a = 5.9205 Å, b = 5.9464 Å, c = 9.6896 Å
α = 89.16°, β = 89.66°, γ = 60.26°
Space group P1 (No. 1)
Unique sites:
Li  0.0000  0.0000  0.0000 (multiplicity 1)
Li  0.0137  0.9814  0.5018 (multiplicity 1)
Li  0.3262  0.3289  0.5992 (multiplicity 1)
Li  0.6755  0.6481  0.0994 (multiplicity 1)
Ti  0.1997  0.1375  0.2717 (multiplicity 1)
Ti  0.6740  0.1786  0.2889 (multiplicity 1)
Ti  0.8171  0.3409  0.7745 (multiplicity 1)
V  0.1657  0.6458  0.2851 (multiplicity 1)
V  0.3362  0.8400  0.7863 (multiplicity 1)
V  0.3379  0.3257  0.0073 (multiplicity 1)
V  0.6641  0.6656  0.5092 (multiplicity 1)
V  0.8287  0.8265  0.7871 (multiplicity 1)
O  0.0466  0.4574  0.1565 (multiplicity 1)
O  0.1637  0.1630  0.8913 (multiplicity 1)
O  0.1743  0.6729  0.8923 (multiplicity 1)
O  0.3330  0.8176  0.3927 (multiplicity 1)
O  0.3464  0.2933  0.3922 (multiplicity 1)
O  0.4867  0.0191  0.1562 (multiplicity 1)
O  0.4913  0.4609  0.1602 (multiplicity 1)
O  0.5015  0.9604  0.6630 (multiplicity 1)
O  0.5170  0.5140  0.6573 (multiplicity 1)
O  0.6643  0.6465  0.8947 (multiplicity 1)
O  0.6734  0.1596  0.8944 (multiplicity 1)
O  0.8381  0.8272  0.3962 (multiplicity 1)
O  0.8394  0.3127  0.3946 (multiplicity 1)
O  0.9555  0.5183  0.6573 (multiplicity 1)
O  0.9965  0.9984  0.1851 (multiplicity 1)
O  0.9994  0.0069  0.6860 (multiplicity 1)